Computed, not measured: a relaxed structure of NbGaRh2 at the GGA-PBE level of DFT.

space group: P4/mmm, No. 123
uncorrected energy: -7.551 eV/atom
formation energy: -0.60 eV per atom
spin magnetization: 0.00 μB/cell

The structure in CIF format:
```
data_NbGaRh2
_chemical_formula_sum 'Nb1 Ga1 Rh2'
_cell_length_a 2.910
_cell_length_b 2.910
_cell_length_c 7.074
_cell_angle_alpha 90.00
_cell_angle_beta 90.00
_cell_angle_gamma 90.00
_space_group_name_H-M_alt 'P 1'
_space_group_IT_number 1
loop_
_space_group_symop_operation_xyz
'x,y,z'
loop_
_atom_site_label
_atom_site_fract_x
_atom_site_fract_y
_atom_site_fract_z
Nb1 0.000 0.000 0.000
Ga1 0.000 0.000 0.500
Rh1 0.500 0.500 0.273
Rh2 0.500 0.500 0.727
```